First-principles (PBE) data for NiSbAs2 after structural relaxation, as listed in Alexandria.

D(E_F) ... 2.26 states/eV/f.u.
ΔE_f (raw) ... 0.102 eV/atom
Space-group type ... Imm2, No. 44

abc: 6.460 6.460 6.460
angles: 149.25 145.16 47.15
Fractional coordinates of all 4 atoms:
1 As 0.006 0.006 0.000
2 As 0.664 0.164 0.500
3 Ni 0.508 0.508 0.000
4 Sb 0.323 0.823 0.500